CdOF2: optimized geometry, PBE.

Its total energy is -0.229 Ry/atom. The calculation puts the distance to the lowest polymorph of the same formula at 0.146 eV per atom.

The structure belongs to space group I-42d (No. 122); the cell edges are 4.026, 4.026 and 14.086 Å and the angles 90.00°, 90.00° and 90.00°. The inequivalent atoms are Cd at (0.000, 0.000, 0.000), O at (0.000, 0.000, 0.500) and F at (0.223, 0.250, 0.125).

CdOF3: optimized geometry, PBE.

Its total energy is -0.262 Ry/atom. The calculation puts the distance to the lowest polymorph of the same formula at 0.000 eV per atom.

The structure belongs to space group P-1 (No. 2); the cell edges are 3.526, 6.200 and 6.962 Å and the angles 82.77°, 75.49° and 89.95°. The inequivalent atoms are Cd at (0.213, 0.231, 0.073), O at (0.490, 0.405, 0.520), F at (0.044, 0.267, 0.414), F at (0.197, 0.607, 0.108) and F at (0.332, 0.987, 0.834).

Cd2OF: optimized geometry, PBE.

Its total energy is -0.246 Ry/atom. The calculation puts the distance to the lowest polymorph of the same formula at 0.009 eV per atom.

The structure belongs to space group P3m1 (No. 156); the cell edges are 3.7188, 3.7188 and 6.2910 Å and the angles 90.00°, 90.00° and 120.00°. The inequivalent atoms are Cd at (0.0000, 0.0000, 0.0000), Cd at (0.3333, 0.6667, 0.4472), O at (0.3333, 0.6667, 0.0887) and F at (0.0000, 0.0000, 0.6238).

Cd2O2F5: optimized geometry, PBE.

Its total energy is -0.278 Ry/atom.

The structure belongs to space group C2/m (No. 12); the cell edges are 14.355, 4.398 and 4.458 Å and the angles 90.00°, 90.16° and 90.00°. The inequivalent atoms are Cd at (0.151, 0.000, 0.002), O at (0.041, 0.500, 0.502), F at (0.000, 0.000, 0.000), F at (0.130, 0.000, 0.502) and F at (0.189, 0.500, 0.003).

Cd3O2F2: optimized geometry, PBE.

Its total energy is -0.281 Ry/atom. The calculation puts the distance to the lowest polymorph of the same formula at 0.000 eV per atom.

The structure belongs to space group C2/m (No. 12); the cell edges are 11.926, 3.308 and 6.034 Å and the angles 90.00°, 114.81° and 90.00°. The inequivalent atoms are Cd at (0.000, 0.000, 0.000), Cd at (0.216, 0.500, 0.741), O at (0.139, 0.500, 0.020) and F at (0.133, 0.000, 0.454).

Cd5O4F: optimized geometry, PBE.

Its total energy is -0.274 Ry/atom.

The structure belongs to space group I4/m (No. 87); the cell edges are 7.700, 7.700 and 4.830 Å and the angles 90.00°, 90.00° and 90.00°. The inequivalent atoms are Cd at (0.000, 0.000, 0.000), Cd at (0.107, 0.316, 0.500), O at (0.107, 0.295, 0.000) and F at (0.000, 0.000, 0.500).

Cd2OF: optimized geometry, PBE.

Its total energy is -0.247 Ry/atom. The calculation puts the distance to the lowest polymorph of the same formula at 0.000 eV per atom.

The structure belongs to space group I-42d (No. 122); the cell edges are 5.337, 5.337 and 10.686 Å and the angles 90.00°, 90.00° and 90.00°. The inequivalent atoms are Cd at (0.218, 0.250, 0.125), O at (0.000, 0.000, 0.000) and F at (0.000, 0.000, 0.500).

Cd3O2F: optimized geometry, PBE.

Its total energy is -0.263 Ry/atom.

The structure belongs to space group Cmc2_1 (No. 36); the cell edges are 11.321, 6.465 and 6.042 Å and the angles 90.00°, 90.00° and 90.00°. The inequivalent atoms are Cd at (0.000, 0.193, 0.000), Cd at (0.179, 0.348, 0.525), O at (0.168, 0.330, 0.893) and F at (0.000, 0.165, 0.399).

CdO2F8: optimized geometry, PBE.

Its total energy is -0.205 Ry/atom.

The structure belongs to space group C2/m (No. 12); the cell edges are 11.632, 7.248 and 4.256 Å and the angles 90.00°, 97.38° and 90.00°. The inequivalent atoms are Cd at (0.000, 0.000, 0.000), O at (0.206, 0.500, 0.315), F at (0.085, 0.500, 0.297), F at (0.096, 0.190, 0.811) and F at (0.246, 0.500, 0.645).

CdOF2: optimized geometry, PBE.

Its total energy is -0.239 Ry/atom. The calculation puts the distance to the lowest polymorph of the same formula at 0.013 eV per atom.

The structure belongs to space group R-3m (No. 166, hexagonal axes); the cell edges are 3.5312, 3.5312 and 21.3033 Å and the angles 90.00°, 90.00° and 120.00°. The inequivalent atoms are Cd at (0.0000, 0.0000, 0.0000), O at (0.0000, 0.0000, 0.5000) and F at (0.0000, 0.0000, 0.3804).

Cd6O5F: optimized geometry, PBE.

Its total energy is -0.278 Ry/atom.

The structure belongs to space group C2/m (No. 12); the cell edges are 5.941, 10.281 and 5.925 Å and the angles 90.00°, 109.63° and 90.00°. The inequivalent atoms are Cd at (0.238, 0.000, 0.258), Cd at (0.239, 0.174, 0.743), O at (0.000, 0.000, 0.500), O at (0.000, 0.168, 0.000), O at (0.000, 0.341, 0.500) and F at (0.000, 0.500, 0.000).

Cd2OF: optimized geometry, PBE.

Its total energy is -0.226 Ry/atom. The calculation puts the distance to the lowest polymorph of the same formula at 0.286 eV per atom.

The structure belongs to space group Fm-3m (No. 225); the cell edges are 6.089, 6.089 and 6.089 Å and the angles 90.00°, 90.00° and 90.00°. The inequivalent atoms are Cd at (0.250, 0.250, 0.250), O at (0.000, 0.000, 0.000) and F at (0.000, 0.000, 0.500).

Cd2OF: optimized geometry, PBE.

Its total energy is -0.224 Ry/atom. The calculation puts the distance to the lowest polymorph of the same formula at 0.313 eV per atom.

The structure belongs to space group P4/mmm (No. 123); the cell edges are 4.314, 4.314 and 3.046 Å and the angles 90.00°, 90.00° and 90.00°. The inequivalent atoms are Cd at (0.000, 0.500, 0.000), O at (0.000, 0.000, 0.500) and F at (0.500, 0.500, 0.500).

CdOF2: optimized geometry, PBE.

Its total energy is -0.187 Ry/atom. The calculation puts the distance to the lowest polymorph of the same formula at 0.721 eV per atom.

The structure belongs to space group R-3m (No. 166, hexagonal axes); the cell edges are 3.3637, 3.3637 and 23.8345 Å and the angles 90.00°, 90.00° and 120.00°. The inequivalent atoms are Cd at (0.0000, 0.0000, 0.0000), O at (0.0000, 0.0000, 0.5000) and F at (0.0000, 0.0000, 0.0821).

Cd3OF3: optimized geometry, PBE.

Its total energy is -0.254 Ry/atom.

The structure belongs to space group C2/m (No. 12); the cell edges are 6.998, 10.714 and 6.143 Å and the angles 90.00°, 97.43° and 90.00°. The inequivalent atoms are Cd at (0.097, 0.000, 0.277), Cd at (0.140, 0.341, 0.224), O at (0.198, 0.000, 0.639), F at (0.000, 0.169, 0.000), F at (0.000, 0.251, 0.500) and F at (0.120, 0.500, 0.846).

CdOF3: optimized geometry, PBE.

Its total energy is -0.198 Ry/atom. The calculation puts the distance to the lowest polymorph of the same formula at 0.868 eV per atom.

The structure belongs to space group Pm-3m (No. 221); the cell edges are 3.909, 3.909 and 3.909 Å and the angles 90.00°, 90.00° and 90.00°. The inequivalent atoms are Cd at (0.000, 0.000, 0.000), O at (0.500, 0.500, 0.500) and F at (0.000, 0.500, 0.500).

Cd3O2F2: optimized geometry, PBE.

Its total energy is -0.279 Ry/atom. The calculation puts the distance to the lowest polymorph of the same formula at 0.025 eV per atom.

The structure belongs to space group C2/c (No. 15); the cell edges are 13.052, 11.857 and 6.258 Å and the angles 90.00°, 114.82° and 90.00°. The inequivalent atoms are Cd at (0.113, 0.108, 0.036), Cd at (0.131, 0.424, 0.071), Cd at (0.147, 0.280, 0.587), O at (0.157, 0.260, 0.253), O at (0.205, 0.430, 0.814), F at (0.000, 0.281, 0.750), F at (0.000, 0.452, 0.250) and F at (0.081, 0.083, 0.632).

CdOF2: optimized geometry, PBE.

Its total energy is -0.233 Ry/atom. The calculation puts the distance to the lowest polymorph of the same formula at 0.095 eV per atom.

The structure belongs to space group Fm-3m (No. 225); the cell edges are 5.707, 5.707 and 5.707 Å and the angles 90.00°, 90.00° and 90.00°. The inequivalent atoms are Cd at (0.000, 0.000, 0.000), O at (0.000, 0.000, 0.500) and F at (0.250, 0.250, 0.250).

CdOF2: optimized geometry, PBE.

Its total energy is -0.240 Ry/atom. The calculation puts the distance to the lowest polymorph of the same formula at 0.000 eV per atom.

The structure belongs to space group P2_1/m (No. 11); the cell edges are 6.331, 3.583 and 6.399 Å and the angles 90.00°, 119.54° and 90.00°. The inequivalent atoms are Cd at (0.248, 0.250, 0.496), O at (0.255, 0.750, 0.003), F at (0.006, 0.250, 0.671) and F at (0.499, 0.250, 0.332).

Cd2OF: optimized geometry, PBE.

Its total energy is -0.245 Ry/atom. The calculation puts the distance to the lowest polymorph of the same formula at 0.031 eV per atom.

The structure belongs to space group R3m (No. 160, hexagonal axes); the cell edges are 3.3841, 3.3841 and 20.1475 Å and the angles 90.00°, 90.00° and 120.00°. The inequivalent atoms are Cd at (0.0000, 0.0000, 0.0000), Cd at (0.0000, 0.0000, 0.1956), O at (0.0000, 0.0000, 0.6019) and F at (0.0000, 0.0000, 0.3961).

Cd3OF: optimized geometry, PBE.

Its total energy is -0.177 Ry/atom. The calculation puts the distance to the lowest polymorph of the same formula at 0.000 eV per atom.

The structure belongs to space group Pm-3m (No. 221); the cell edges are 4.645, 4.645 and 4.645 Å and the angles 90.00°, 90.00° and 90.00°. The inequivalent atoms are Cd at (0.000, 0.000, 0.500), O at (0.000, 0.000, 0.000) and F at (0.500, 0.500, 0.500).

Cd2O2F3: optimized geometry, PBE.

Its total energy is -0.286 Ry/atom.

The structure belongs to space group P-1 (No. 2); the cell edges are 3.894, 6.020 and 6.272 Å and the angles 103.61°, 107.89° and 99.10°. The inequivalent atoms are Cd at (0.085, 0.334, 0.250), O at (0.345, 0.521, 0.015), F at (0.000, 0.000, 0.000) and F at (0.317, 0.681, 0.557).

Cd2OF: optimized geometry, PBE.

Its total energy is -0.239 Ry/atom. The calculation puts the distance to the lowest polymorph of the same formula at 0.109 eV per atom.

The structure belongs to space group R-3m (No. 166, hexagonal axes); the cell edges are 3.6809, 3.6809 and 19.7791 Å and the angles 90.00°, 90.00° and 120.00°. The inequivalent atoms are Cd at (0.0000, 0.0000, 0.1091), O at (0.0000, 0.0000, 0.5000) and F at (0.0000, 0.0000, 0.0000).

Cd3OF4: optimized geometry, PBE.

Its total energy is -0.275 Ry/atom.

The structure belongs to space group Cc (No. 9); the cell edges are 11.462, 5.987 and 8.134 Å and the angles 90.00°, 111.08° and 90.00°. The inequivalent atoms are Cd at (0.000, 0.003, 0.000), Cd at (0.220, 0.479, 0.051), Cd at (0.343, 0.005, 0.272), O at (0.173, 0.162, 0.127), F at (0.030, 0.359, 0.428), F at (0.292, 0.355, 0.834), F at (0.350, 0.230, 0.529) and F at (0.443, 0.335, 0.220).

Calculated values (μB/cell) of size of the total moment for the records, taken in order: 8.00, 0.19, 0.00, 2.26, 0.00, 0.00, 0.00, 0.00, 2.13, 6.00, 0.00, 0.00, 0.00, 6.00, 0.00, 0.00, 0.00, 8.00, 4.00, 0.00, 0.00, 1.00, 0.00, 0.20.
Calculated values (eV per atom) of raw formation energy for the records, taken in order: -0.7110, -1.2681, -1.1880, -1.4351, -1.4805, -1.1029, -1.1970, -1.1572, -0.4445, -0.8439, -1.0971, -0.9113, -0.8837, -0.1359, -1.5526, -0.3999, -1.4555, -0.7627, -0.8573, -1.1664, -0.4991, -1.4161, -1.0877, -1.8431.